# TiN2O2 | Alexandria | GGA-PBE | relaxed
data_TiN2O2
_cell_length_a 5.258
_cell_length_b 3.035
_cell_length_c 9.437
_cell_angle_alpha 90.00
_cell_angle_beta 91.48
_cell_angle_gamma 90.00
_symmetry_space_group_name_H-M 'C 1 2/m 1'
_symmetry_Int_Tables_number 12
_symmetry_space_group_name_Hall '-C 2y'
loop_
_atom_site_label
_atom_site_fract_x
_atom_site_fract_y
_atom_site_fract_z
Ti1 0.000 0.000 0.000
N1 0.002 0.000 0.559
O1 0.171 0.500 0.101
# - DOS at the Fermi energy (states/eV/f.u.) = 0.00
# - V (Å³ per atom) = 15.054
# - energy above the most stable polymorph in this dataset (kJ/mol of formula units) = 0
# - raw formation energy (meV/atom) = -1679


# Ti2NO2 | Alexandria | GGA-PBE | relaxed
data_Ti2NO2
_cell_length_a 3.0061
_cell_length_b 3.0061
_cell_length_c 23.2172
_cell_angle_alpha 90.00
_cell_angle_beta 90.00
_cell_angle_gamma 120.00
_symmetry_space_group_name_H-M 'R -3 m'
_symmetry_Int_Tables_number 166
_symmetry_space_group_name_Hall '-R 3 2"'
loop_
_atom_site_label
_atom_site_fract_x
_atom_site_fract_y
_atom_site_fract_z
Ti1 0.0000 0.0000 0.1120
N1 0.0000 0.0000 0.5000
O1 0.0000 0.0000 0.2618
# - DOS at the Fermi energy (states/eV/f.u.) = 4.04
# - V (Å³ per atom) = 12.113
# - raw formation energy (meV/atom) = -2385